1.
This record from Alexandria describes a relaxed structure of CrNiC2. The functional is PBE.

The total magnetization is 0.000 Bohr magnetons per cell. The energy above the most stable polymorph in this dataset is 1.62 eV/f.u. The value obtained for the energy relative to the elements is 1.06 eV/atom.

It has space group Fm-3m (No. 225), with a = 5.039 Å, b = 5.039 Å, c = 5.039 Å, α = 90.00°, β = 90.00° and γ = 90.00°. Symmetry generates all atoms from Cr at (0.000, 0.000, 0.000), Ni at (0.000, 0.000, 0.500) and C at (0.250, 0.250, 0.250).



2.
This record from Alexandria describes a relaxed structure of Cr3Ni3C. The functional is PBE.

The total magnetization is 65.351 Bohr magnetons per cell. The value obtained for the energy relative to the elements is 0.07 eV/atom.

It has space group Fd-3m (No. 227, origin choice 2), with a = 10.580 Å, b = 10.580 Å, c = 10.580 Å, α = 90.00°, β = 90.00° and γ = 90.00°. Symmetry generates all atoms from Cr at (0.066, 0.375, 0.375), Ni at (0.000, 0.000, 0.500), Ni at (0.038, 0.038, 0.712) and C at (0.000, 0.000, 0.000).



3.
This record from Alexandria describes a relaxed structure of CrNi3C. The functional is PBE.

The total magnetization is 0.000 Bohr magnetons per cell. The energy above the most stable polymorph in this dataset is 10.66 eV/f.u. The value obtained for the energy relative to the elements is 2.34 eV/atom.

It has space group Pm-3m (No. 221), with a = 4.189 Å, b = 4.189 Å, c = 4.189 Å, α = 90.00°, β = 90.00° and γ = 90.00°. Symmetry generates all atoms from Cr at (0.000, 0.000, 0.000), Ni at (0.000, 0.000, 0.500) and C at (0.500, 0.500, 0.500).



4.
This record from Alexandria describes a relaxed structure of CrNi2C. The functional is PBE.

The total magnetization is 0.000 Bohr magnetons per cell. The value obtained for the energy relative to the elements is 1.00 eV/atom.

It has space group I-42d (No. 122), with a = 3.822 Å, b = 3.822 Å, c = 12.481 Å, α = 90.00°, β = 90.00° and γ = 90.00°. Symmetry generates all atoms from Cr at (0.000, 0.000, 0.000), Ni at (0.165, 0.250, 0.625) and C at (0.000, 0.000, 0.500).



5.
This record from Alexandria describes a relaxed structure of CrNiC2. The functional is PBE.

The total magnetization is 0.000 Bohr magnetons per cell. The energy above the most stable polymorph in this dataset is 0.00 eV/f.u. The value obtained for the energy relative to the elements is 0.66 eV/atom.

It has space group I-42d (No. 122), with a = 4.397 Å, b = 4.397 Å, c = 8.580 Å, α = 90.00°, β = 90.00° and γ = 90.00°. Symmetry generates all atoms from Cr at (0.000, 0.000, 0.000), Ni at (0.000, 0.000, 0.500) and C at (0.242, 0.250, 0.125).



6.
This record from Alexandria describes a relaxed structure of CrNiC. The functional is PBE.

The total magnetization is 0.118 Bohr magnetons per cell. The value obtained for the energy relative to the elements is 0.27 eV/atom.

It has space group Pmmn (No. 59, origin choice 2), with a = 2.858 Å, b = 3.903 Å, c = 5.525 Å, α = 90.00°, β = 90.00° and γ = 90.00°. Symmetry generates all atoms from Cr at (0.250, 0.250, 0.103), Ni at (0.250, 0.750, 0.465) and C at (0.250, 0.750, 0.135).



- What is the formula in the fifth record?
  CrNiC2



- The highest energy relative to the elements belongs to which entry?
  CrNi3C



- Look up the energy relative to the elements of the first one.
  1.06 eV/atom



What did the fourth record say?
This record from Alexandria describes a relaxed structure of CrNi2C. The functional is PBE.

The total magnetization is 0.000 Bohr magnetons per cell. The value obtained for the energy relative to the elements is 1.00 eV/atom.

It has space group I-42d (No. 122), with a = 3.822 Å, b = 3.822 Å, c = 12.481 Å, α = 90.00°, β = 90.00° and γ = 90.00°. Symmetry generates all atoms from Cr at (0.000, 0.000, 0.000), Ni at (0.165, 0.250, 0.625) and C at (0.000, 0.000, 0.500).